# TaTc2Mo (PBE, relaxed)
data_TaTc2Mo
_symmetry_space_group_name_H-M 'P 1'
_symmetry_Int_Tables_number 1
_symmetry_space_group_name_Hall 'P 1'
_cell_length_a 7.159
_cell_length_b 7.159
_cell_length_c 5.712
_cell_angle_alpha 51.19
_cell_angle_beta 51.19
_cell_angle_gamma 90.00
loop_
_atom_site_label
_atom_site_type_symbol
_atom_site_fract_x
_atom_site_fract_y
_atom_site_fract_z
_atom_site_occupancy
Ta1 Ta 0.750 0.250 0.500 1
Ta2 Ta 0.000 0.000 0.000 1
Mo1 Mo 0.250 0.750 0.500 1
Mo2 Mo 0.500 0.500 0.000 1
Tc1 Tc 0.375 0.386 0.750 1
Tc2 Tc 0.875 0.864 0.750 1
Tc3 Tc 0.136 0.625 0.250 1
Tc4 Tc 0.614 0.125 0.250 1
# Formation enthalpy at 0 K   622 meV/atom
# Density of states at the Fermi level   7.8 states/eV per cell
# Space-group type   I-42d (122)
# Distance to the lowest polymorph of the same formula   0.821 eV per atom


# Pr2HoCu6 (PBE, relaxed)
data_Pr2HoCu6
_symmetry_space_group_name_H-M 'P 1'
_symmetry_Int_Tables_number 1
_symmetry_space_group_name_Hall 'P 1'
_cell_length_a 3.725
_cell_length_b 7.399
_cell_length_c 7.399
_cell_angle_alpha 120.00
_cell_angle_beta 90.00
_cell_angle_gamma 90.00
loop_
_atom_site_label
_atom_site_type_symbol
_atom_site_fract_x
_atom_site_fract_y
_atom_site_fract_z
_atom_site_occupancy
Pr1 Pr 0.000 0.667 0.333 1
Cu1 Cu 0.500 0.000 0.670 1
Pr2 Pr 0.000 0.333 0.667 1
Ho1 Ho 0.000 0.000 0.000 1
Cu2 Cu 0.500 0.330 0.330 1
Cu3 Cu 0.500 0.670 0.000 1
Cu4 Cu 0.500 0.000 0.330 1
Cu5 Cu 0.500 0.670 0.670 1
Cu6 Cu 0.500 0.330 0.000 1
# Formation enthalpy at 0 K   -216 meV/atom
# Density of states at the Fermi level   5.0 states/eV per cell
# Space-group type   P6/mmm (191)


# Cr2TcTe (PBE, relaxed)
data_Cr2TcTe
_symmetry_space_group_name_H-M 'P 1'
_symmetry_Int_Tables_number 1
_symmetry_space_group_name_Hall 'P 1'
_cell_length_a 4.387
_cell_length_b 4.387
_cell_length_c 4.387
_cell_angle_alpha 60.00
_cell_angle_beta 60.00
_cell_angle_gamma 60.00
loop_
_atom_site_label
_atom_site_type_symbol
_atom_site_fract_x
_atom_site_fract_y
_atom_site_fract_z
_atom_site_occupancy
Tc1 Tc 0.500 0.500 0.500 1
Cr1 Cr 0.250 0.250 0.250 1
Cr2 Cr 0.000 0.000 0.000 1
Te1 Te 0.750 0.750 0.750 1
# Formation energy from raw total energies   0.31 eV per atom
# Density of states at the Fermi level   3.5 states/eV per cell
# Space-group type   F-43m (216)


# CoNi2SnC (PBE, relaxed)
data_CoNi2SnC
_symmetry_space_group_name_H-M 'P 1'
_symmetry_Int_Tables_number 1
_symmetry_space_group_name_Hall 'P 1'
_cell_length_a 3.890
_cell_length_b 3.890
_cell_length_c 3.828
_cell_angle_alpha 90.00
_cell_angle_beta 90.00
_cell_angle_gamma 90.00
loop_
_atom_site_label
_atom_site_type_symbol
_atom_site_fract_x
_atom_site_fract_y
_atom_site_fract_z
_atom_site_occupancy
C1 C 0.000 0.000 0.000 1
Ni1 Ni 0.000 0.500 0.000 1
Sn1 Sn 0.500 0.500 0.500 1
Ni2 Ni 0.500 0.000 0.000 1
Co1 Co 0.000 0.000 0.500 1
# Formation enthalpy at 0 K   35 meV/atom
# Density of states at the Fermi level   4.2 states/eV per cell
# Space-group type   P4/mmm (123)


# Li2MgAl9 (PBE, relaxed)
data_Li2MgAl9
_symmetry_space_group_name_H-M 'P 1'
_symmetry_Int_Tables_number 1
_symmetry_space_group_name_Hall 'P 1'
_cell_length_a 4.117
_cell_length_b 4.117
_cell_length_c 11.876
_cell_angle_alpha 90.00
_cell_angle_beta 90.00
_cell_angle_gamma 90.00
loop_
_atom_site_label
_atom_site_type_symbol
_atom_site_fract_x
_atom_site_fract_y
_atom_site_fract_z
_atom_site_occupancy
Al1 Al 0.500 0.500 0.664 1
Al2 Al 0.000 0.500 0.827 1
Al3 Al 0.000 0.500 0.500 1
Al4 Al 0.500 0.500 0.336 1
Al5 Al 0.500 0.000 0.500 1
Li1 Li 0.000 0.000 0.663 1
Li2 Li 0.000 0.000 0.337 1
Al6 Al 0.500 0.000 0.173 1
Al7 Al 0.500 0.000 0.827 1
Al8 Al 0.000 0.500 0.173 1
Mg1 Mg 0.000 0.000 0.000 1
Al9 Al 0.500 0.500 0.000 1
# Formation enthalpy at 0 K   -47 meV/atom
# Density of states at the Fermi level   7.1 states/eV per cell
# Space-group type   P4/mmm (123)


# La2AlZn2 (PBE, relaxed)
data_La2AlZn2
_symmetry_space_group_name_H-M 'P 1'
_symmetry_Int_Tables_number 1
_symmetry_space_group_name_Hall 'P 1'
_cell_length_a 8.796
_cell_length_b 8.796
_cell_length_c 3.480
_cell_angle_alpha 90.00
_cell_angle_beta 90.00
_cell_angle_gamma 90.00
loop_
_atom_site_label
_atom_site_type_symbol
_atom_site_fract_x
_atom_site_fract_y
_atom_site_fract_z
_atom_site_occupancy
La1 La 0.319 0.819 0.000 1
Al1 Al 0.500 0.500 0.000 1
Zn1 Zn 0.387 0.113 0.500 1
La2 La 0.181 0.319 0.000 1
Zn2 Zn 0.613 0.887 0.500 1
Zn3 Zn 0.887 0.387 0.500 1
La3 La 0.681 0.181 0.000 1
Al2 Al 0.000 0.000 0.000 1
Zn4 Zn 0.113 0.613 0.500 1
La4 La 0.819 0.681 0.000 1
# Formation enthalpy at 0 K   -13 meV/atom
# Density of states at the Fermi level   8.8 states/eV per cell
# Space-group type   P4/mbm (127)
# Distance to the lowest polymorph of the same formula   0.347 eV per atom


# Ac4HgHRh2 (PBE, relaxed)
data_Ac4HgHRh2
_symmetry_space_group_name_H-M 'P 1'
_symmetry_Int_Tables_number 1
_symmetry_space_group_name_Hall 'P 1'
_cell_length_a 4.356
_cell_length_b 7.533
_cell_length_c 15.014
_cell_angle_alpha 90.00
_cell_angle_beta 90.00
_cell_angle_gamma 106.81
loop_
_atom_site_label
_atom_site_type_symbol
_atom_site_fract_x
_atom_site_fract_y
_atom_site_fract_z
_atom_site_occupancy
Hg1 Hg 0.112 0.223 0.750 1
Rh1 Rh 0.369 0.739 0.561 1
Ac1 Ac 0.000 0.000 0.500 1
Ac2 Ac 0.000 0.000 0.000 1
Ac3 Ac 0.267 0.533 0.114 1
Hg2 Hg 0.888 0.777 0.250 1
Ac4 Ac 0.267 0.533 0.386 1
Rh2 Rh 0.631 0.261 0.061 1
Ac5 Ac 0.733 0.467 0.886 1
Ac6 Ac 0.733 0.467 0.614 1
Ac7 Ac 0.426 0.852 0.750 1
Rh3 Rh 0.369 0.739 0.939 1
Ac8 Ac 0.574 0.148 0.250 1
H1 H 0.840 0.680 0.750 1
H2 H 0.160 0.320 0.250 1
Rh4 Rh 0.631 0.261 0.439 1
# Density of states at the Fermi level   9.6 states/eV per cell
# Space-group type   Cmcm (63)
# Final energy   -4.945 eV/atom


# Tb2Y3ScS6 (PBE, relaxed)
data_Tb2Y3ScS6
_symmetry_space_group_name_H-M 'P 1'
_symmetry_Int_Tables_number 1
_symmetry_space_group_name_Hall 'P 1'
_cell_length_a 3.881
_cell_length_b 7.802
_cell_length_c 8.677
_cell_angle_alpha 102.99
_cell_angle_beta 102.92
_cell_angle_gamma 90.00
loop_
_atom_site_label
_atom_site_type_symbol
_atom_site_fract_x
_atom_site_fract_y
_atom_site_fract_z
_atom_site_occupancy
S1 S 0.662 0.080 0.323 1
Y1 Y 0.169 0.834 0.337 1
Tb1 Tb 0.834 0.667 0.668 1
S2 S 0.999 0.238 0.997 1
S3 S 0.666 0.584 0.333 1
S4 S 0.334 0.416 0.667 1
Y2 Y 0.831 0.166 0.663 1
S5 S 0.338 0.920 0.677 1
Sc1 Sc 0.500 0.000 0.000 1
Y3 Y 0.500 0.500 0.000 1
S6 S 0.001 0.762 0.003 1
Tb2 Tb 0.166 0.333 0.332 1
# Formation energy from raw total energies   -1.97 eV per atom
# Density of states at the Fermi level   5.6 states/eV per cell
# Space-group type   C2/m (12)


# Tm4BiSb2Pb (PBE, relaxed)
data_Tm4BiSb2Pb
_symmetry_space_group_name_H-M 'P 1'
_symmetry_Int_Tables_number 1
_symmetry_space_group_name_Hall 'P 1'
_cell_length_a 4.322
_cell_length_b 7.667
_cell_length_c 7.564
_cell_angle_alpha 71.16
_cell_angle_beta 90.00
_cell_angle_gamma 90.00
loop_
_atom_site_label
_atom_site_type_symbol
_atom_site_fract_x
_atom_site_fract_y
_atom_site_fract_z
_atom_site_occupancy
Tm1 Tm 0.500 0.756 0.246 1
Bi1 Bi 0.000 0.500 0.500 1
Pb1 Pb 0.500 0.500 0.000 1
Tm2 Tm 0.000 0.758 0.747 1
Tm3 Tm 0.000 0.242 0.253 1
Sb1 Sb 0.000 0.000 0.000 1
Tm4 Tm 0.500 0.244 0.754 1
Sb2 Sb 0.500 0.000 0.500 1
# Formation energy from raw total energies   -0.79 eV per atom
# Density of states at the Fermi level   3.1 states/eV per cell
# Space-group type   P2/m (10)


# Pm4Mg5Pt2 (PBE, relaxed)
data_Pm4Mg5Pt2
_symmetry_space_group_name_H-M 'P 1'
_symmetry_Int_Tables_number 1
_symmetry_space_group_name_Hall 'P 1'
_cell_length_a 3.773
_cell_length_b 7.911
_cell_length_c 9.944
_cell_angle_alpha 92.61
_cell_angle_beta 90.00
_cell_angle_gamma 90.00
loop_
_atom_site_label
_atom_site_type_symbol
_atom_site_fract_x
_atom_site_fract_y
_atom_site_fract_z
_atom_site_occupancy
Pm1 Pm 0.500 0.219 0.448 1
Mg1 Mg 0.000 0.445 0.680 1
Pm2 Pm 0.500 0.165 0.855 1
Mg2 Mg 0.000 0.814 0.843 1
Pt1 Pt 0.000 0.068 0.644 1
Pm3 Pm 0.500 0.835 0.145 1
Pt2 Pt 0.000 0.932 0.356 1
Mg3 Mg 0.000 0.186 0.157 1
Mg4 Mg 0.000 0.555 0.320 1
Pm4 Pm 0.500 0.781 0.552 1
Mg5 Mg 0.000 0.500 0.000 1
# Formation enthalpy at 0 K   -460 meV/atom
# Density of states at the Fermi level   9.8 states/eV per cell
# Space-group type   P2/m (10)


# SiSb2Ru (PBE, relaxed)
data_SiSb2Ru
_symmetry_space_group_name_H-M 'P 1'
_symmetry_Int_Tables_number 1
_symmetry_space_group_name_Hall 'P 1'
_cell_length_a 3.677
_cell_length_b 3.677
_cell_length_c 7.392
_cell_angle_alpha 76.19
_cell_angle_beta 76.19
_cell_angle_gamma 58.74
loop_
_atom_site_label
_atom_site_type_symbol
_atom_site_fract_x
_atom_site_fract_y
_atom_site_fract_z
_atom_site_occupancy
Ru1 Ru 0.250 0.250 0.250 1
Sb1 Sb 0.996 0.996 0.010 1
Si1 Si 0.750 0.750 0.750 1
Sb2 Sb 0.504 0.504 0.490 1
# Formation energy from raw total energies   0.29 eV per atom
# Density of states at the Fermi level   3.8 states/eV per cell
# Space-group type   C2/m (12)


# Mg14CdBi (PBE, relaxed)
data_Mg14CdBi
_symmetry_space_group_name_H-M 'P 1'
_symmetry_Int_Tables_number 1
_symmetry_space_group_name_Hall 'P 1'
_cell_length_a 6.437
_cell_length_b 6.437
_cell_length_c 10.336
_cell_angle_alpha 90.00
_cell_angle_beta 90.00
_cell_angle_gamma 120.00
loop_
_atom_site_label
_atom_site_type_symbol
_atom_site_fract_x
_atom_site_fract_y
_atom_site_fract_z
_atom_site_occupancy
Mg1 Mg 0.502 0.498 0.000 1
Mg2 Mg 0.661 0.830 0.754 1
Bi1 Bi 0.000 0.000 0.500 1
Mg3 Mg 0.499 0.999 0.500 1
Mg4 Mg 0.502 0.003 0.000 1
Mg5 Mg 0.667 0.333 0.254 1
Mg6 Mg 0.170 0.830 0.754 1
Mg7 Mg 0.001 0.501 0.500 1
Mg8 Mg 0.170 0.339 0.246 1
Mg9 Mg 0.667 0.333 0.746 1
Mg10 Mg 0.170 0.339 0.754 1
Mg11 Mg 0.499 0.501 0.500 1
Cd1 Cd 0.000 0.000 0.000 1
Mg12 Mg 0.997 0.498 0.000 1
Mg13 Mg 0.661 0.830 0.246 1
Mg14 Mg 0.170 0.830 0.246 1
# Formation enthalpy at 0 K   -34 meV/atom
# Density of states at the Fermi level   7.0 states/eV per cell
# Space-group type   P-6m2 (187)
# Distance to the lowest polymorph of the same formula   0.000 eV per atom


# K3CdHg6 (PBE, relaxed)
data_K3CdHg6
_symmetry_space_group_name_H-M 'P 1'
_symmetry_Int_Tables_number 1
_symmetry_space_group_name_Hall 'P 1'
_cell_length_a 8.831
_cell_length_b 8.831
_cell_length_c 8.831
_cell_angle_alpha 98.25
_cell_angle_beta 98.25
_cell_angle_gamma 98.25
loop_
_atom_site_label
_atom_site_type_symbol
_atom_site_fract_x
_atom_site_fract_y
_atom_site_fract_z
_atom_site_occupancy
K1 K 0.250 0.747 0.753 1
Hg1 Hg 0.569 0.864 0.571 1
Cd1 Cd 0.500 0.500 0.500 1
K2 K 0.247 0.750 0.253 1
K3 K 0.253 0.247 0.750 1
Cd2 Cd 0.000 0.000 0.000 1
Hg2 Hg 0.931 0.929 0.636 1
Hg3 Hg 0.636 0.931 0.929 1
Hg4 Hg 0.431 0.136 0.429 1
K4 K 0.750 0.253 0.247 1
K5 K 0.753 0.250 0.747 1
K6 K 0.747 0.753 0.250 1
Hg5 Hg 0.571 0.569 0.864 1
Hg6 Hg 0.864 0.571 0.569 1
Hg7 Hg 0.429 0.431 0.136 1
Hg8 Hg 0.136 0.429 0.431 1
Hg9 Hg 0.071 0.364 0.069 1
Hg10 Hg 0.364 0.069 0.071 1
Hg11 Hg 0.069 0.071 0.364 1
Hg12 Hg 0.929 0.636 0.931 1
# Formation enthalpy at 0 K   -221 meV/atom
# Density of states at the Fermi level   7.4 states/eV per cell
# Space-group type   R-3c (167)


# Ir2OsRu (PBE, relaxed)
data_Ir2OsRu
_symmetry_space_group_name_H-M 'P 1'
_symmetry_Int_Tables_number 1
_symmetry_space_group_name_Hall 'P 1'
_cell_length_a 8.998
_cell_length_b 8.998
_cell_length_c 8.998
_cell_angle_alpha 17.50
_cell_angle_beta 17.50
_cell_angle_gamma 17.50
loop_
_atom_site_label
_atom_site_type_symbol
_atom_site_fract_x
_atom_site_fract_y
_atom_site_fract_z
_atom_site_occupancy
Ir1 Ir 0.751 0.751 0.751 1
Ir2 Ir 0.999 0.999 0.999 1
Os1 Os 0.501 0.501 0.501 1
Ru1 Ru 0.249 0.249 0.249 1
# Formation enthalpy at 0 K   91 meV/atom
# Density of states at the Fermi level   7.3 states/eV per cell
# Space-group type   R3m (160)
# Distance to the lowest polymorph of the same formula   0.086 eV per atom


# Pm6Sm2Y3Mg (PBE, relaxed)
data_Pm6Sm2Y3Mg
_symmetry_space_group_name_H-M 'P 1'
_symmetry_Int_Tables_number 1
_symmetry_space_group_name_Hall 'P 1'
_cell_length_a 6.242
_cell_length_b 6.242
_cell_length_c 11.862
_cell_angle_alpha 95.03
_cell_angle_beta 95.03
_cell_angle_gamma 120.02
loop_
_atom_site_label
_atom_site_type_symbol
_atom_site_fract_x
_atom_site_fract_y
_atom_site_fract_z
_atom_site_occupancy
Pm1 Pm 0.414 0.083 0.250 1
Sm1 Sm 0.667 0.333 0.000 1
Pm2 Pm 0.917 0.586 0.750 1
Mg1 Mg 0.000 0.000 0.000 1
Pm3 Pm 0.083 0.414 0.250 1
Pm4 Pm 0.249 0.249 0.749 1
Y1 Y 0.500 0.500 0.500 1
Pm5 Pm 0.751 0.751 0.251 1
Pm6 Pm 0.586 0.917 0.750 1
Y2 Y 0.166 0.834 0.500 1
Sm2 Sm 0.333 0.667 0.000 1
Y3 Y 0.834 0.166 0.500 1
# Formation enthalpy at 0 K   15 meV/atom
# Density of states at the Fermi level   13.7 states/eV per cell
# Space-group type   C2/m (12)